(1)
Material: MgGa2Fe
Method: DFT, PBE
State: relaxed

Output
- calculated formation energy (kJ/mol of atoms) = -0.4
- symmetry = R-3m (166)
- total DFT energy (no corrections) (eV per atom) = -4.032

Cell: 2.9395 2.9395 8.7629 Å, 80.34 80.34 60.00°
Fractional positions:
1 Ga 0.2574 0.2574 0.2279
2 Mg 0.5000 0.5000 0.5000
3 Fe 0.0000 0.0000 0.0000
4 Ga 0.7426 0.7426 0.7721

---

(2)
Material: Ba2TePdO6
Method: DFT, PBE
State: relaxed

Output
- formation energy (no corrections) (kcal/mol of atoms) = -37.75
- symmetry = R-3m (166)
- total DFT energy (no corrections) (eV per atom) = -5.830

Cell: 5.9473 5.9473 10.7516 Å, 73.94 73.94 60.00°
Fractional positions:
1 O 0.1963 0.7215 0.8859
2 Te 0.0000 0.0000 0.0000
3 Pd 0.5910 0.5910 0.2270
4 Ba 0.1239 0.1239 0.6283
5 O 0.8037 0.8037 0.1141
6 O 0.3837 0.8468 0.3858
7 O 0.2785 0.8037 0.1141
8 O 0.8037 0.2785 0.1141
9 O 0.6163 0.6163 0.6142
10 O 0.3837 0.3837 0.3858
11 Te 0.5000 0.5000 0.5000
12 O 0.8468 0.3837 0.3858
13 Ba 0.2902 0.2902 0.1294
14 O 0.6163 0.1532 0.6142
15 O 0.1532 0.6163 0.6142
16 Ba 0.7098 0.7098 0.8706
17 O 0.1963 0.1963 0.8859
18 Ba 0.8761 0.8761 0.3717
19 Pd 0.4090 0.4090 0.7730
20 O 0.7215 0.1963 0.8859

---

(3)
Material: Sc2GaAgAu
Method: DFT, PBE
State: relaxed

Output
- calculated formation energy (kJ/mol of atoms) = 12.1
- symmetry = P4/mmm (123)
- total DFT energy (no corrections) (eV per atom) = -4.239

Cell: 5.2401 4.7120 5.2401 Å, 90.00 90.00 90.00°
Fractional positions:
1 Ga 0.0000 0.5000 0.0000
2 Sc 0.0000 0.0000 0.5000
3 Au 0.0000 0.0000 0.0000
4 Ag 0.5000 0.5000 0.5000
5 Sc 0.5000 0.0000 0.0000

---

(4)
Material: RhI3
Method: DFT, PBE
State: relaxed

Output
- formation energy (no corrections) (kcal/mol of atoms) = 20.39
- symmetry = Fm-3m (225)
- total DFT energy (no corrections) (eV per atom) = -2.116

Cell: 5.4176 5.4176 5.4176 Å, 60.00 60.00 60.00°
Fractional positions:
1 Rh 0.0000 0.0000 0.0000
2 I 0.5000 0.5000 0.5000
3 I 0.2500 0.2500 0.2500
4 I 0.7500 0.7500 0.7500

---

(5)
Material: NdBeNi2
Method: DFT, PBE
State: relaxed

Output
- calculated formation energy (kJ/mol of atoms) = -31.8
- symmetry = R-3m (166)
- total DFT energy (no corrections) (eV per atom) = -5.344

Cell: 3.8989 3.8989 5.3451 Å, 68.61 68.61 60.00°
Fractional positions:
1 Ni 0.6985 0.6985 0.9044
2 Be 0.0000 0.0000 0.0000
3 Nd 0.5000 0.5000 0.5000
4 Ni 0.3015 0.3015 0.0956

---

(6)
Material: NiCl5
Method: DFT, PBE
State: relaxed

Output
- formation energy (no corrections) (kcal/mol of atoms) = -5.23
- symmetry = Pm (6)
- total DFT energy (no corrections) (eV per atom) = -2.729
- excess energy over the best structure of this formula in the dataset (meV/atom) = 0

Cell: 3.3924 4.8144 9.7097 Å, 90.00 89.79 90.00°
Fractional positions:
1 Ni 0.0520 0.5000 0.6115
2 Cl 0.9878 0.0000 0.0112
3 Cl 0.5515 0.5000 0.7657
4 Cl 0.1378 0.0000 0.2092
5 Cl 0.5529 0.5000 0.4572
6 Cl 0.0514 0.0000 0.6120

---

(7)
Material: BaFeOs
Method: DFT, PBE
State: relaxed

Output
- calculated formation energy (kJ/mol of atoms) = 152.0
- symmetry = P6_3/mmc (194)
- total DFT energy (no corrections) (eV per atom) = -5.630
- excess energy over the best structure of this formula in the dataset (meV/atom) = 1229

Cell: 5.3869 5.3869 8.6994 Å, 90.00 90.00 120.00°
Fractional positions:
1 Os 0.0000 0.0000 0.0000
2 Os 0.0000 0.0000 0.5000
3 Fe 0.0000 0.0000 0.7500
4 Fe 0.0000 0.0000 0.2500
5 Ba 0.6667 0.3333 0.7500
6 Ba 0.3333 0.6667 0.2500

---

(8)
Material: Tb2NdGa
Method: DFT, PBE
State: relaxed

Output
- calculated formation energy (kJ/mol of atoms) = -22.5
- symmetry = P4/mmm (123)
- total DFT energy (no corrections) (eV per atom) = -4.497
- excess energy over the best structure of this formula in the dataset (meV/atom) = 48

Cell: 4.7485 4.7977 4.7977 Å, 90.00 90.00 90.00°
Fractional positions:
1 Tb 0.0000 0.0000 0.5000
2 Ga 0.5000 0.5000 0.5000
3 Nd 0.5000 0.0000 0.0000
4 Tb 0.0000 0.5000 0.0000

---

(9)
Material: PaTlI6
Method: DFT, PBE
State: relaxed

Output
- formation energy (no corrections) (kcal/mol of atoms) = -20.22
- symmetry = C2/m (12)
- total DFT energy (no corrections) (eV per atom) = -3.522
- excess energy over the best structure of this formula in the dataset (meV/atom) = 0

Cell: 7.9405 7.9405 7.9993 Å, 98.52 98.52 117.41°
Fractional positions:
1 Pa 0.5000 0.5000 0.5000
2 I 0.4518 0.1420 0.2742
3 I 0.5482 0.8580 0.7258
4 I 0.2614 0.2614 0.7122
5 Tl 0.0000 0.0000 0.0000
6 I 0.1420 0.4518 0.2742
7 I 0.8580 0.5482 0.7258
8 I 0.7386 0.7386 0.2878

---

(10)
Material: KReSb2
Method: DFT, PBE
State: relaxed

Output
- formation energy (no corrections) (kcal/mol of atoms) = 4.68
- symmetry = Imm2 (44)
- total DFT energy (no corrections) (eV per atom) = -5.244
- excess energy over the best structure of this formula in the dataset (meV/atom) = 146

Cell: 9.2867 9.2867 9.2867 Å, 159.06 158.14 30.45°
Fractional positions:
1 K 0.4403 0.4403 0.0000
2 Sb 0.0850 0.0850 0.0000
3 Sb 0.7744 0.2744 0.5000
4 Re 0.2003 0.7003 0.5000

---

(11)
Material: TbNdSm2Tl2
Method: DFT, PBE
State: relaxed

Output
- calculated formation energy (kJ/mol of atoms) = -26.2
- symmetry = Pmc2_1 (26)
- total DFT energy (no corrections) (eV per atom) = -4.200

Cell: 5.2116 6.8990 10.1951 Å, 90.00 90.00 90.00°
Fractional positions:
1 Tl 0.5000 0.2215 0.3662
2 Sm 0.5000 0.0528 0.0442
3 Tl 0.0000 0.7970 0.1383
4 Sm 0.0000 0.8306 0.8178
5 Sm 0.0000 0.3306 0.1822
6 Tl 0.5000 0.7215 0.6338
7 Nd 0.0000 0.4606 0.5430
8 Tb 0.5000 0.1832 0.6876
9 Tb 0.5000 0.6832 0.3124
10 Sm 0.5000 0.5528 0.9558
11 Nd 0.0000 0.9606 0.4570
12 Tl 0.0000 0.2970 0.8617

---

(12)
Material: La2BeGeAu6
Method: DFT, PBE
State: relaxed

Output
- calculated formation energy (kJ/mol of atoms) = -47.1
- symmetry = P-1 (2)
- total DFT energy (no corrections) (eV per atom) = -4.274

Cell: 7.0246 6.4759 6.4764 Å, 60.29 62.45 89.52°
Fractional positions:
1 Au 0.3128 0.2757 0.9352
2 Au 0.3030 0.2666 0.4754
3 Be 0.5000 0.5000 0.0000
4 Au 0.6970 0.7334 0.5246
5 La 0.1695 0.7278 0.5518
6 Au 0.3348 0.8142 0.9273
7 Au 0.6872 0.7243 0.0648
8 Au 0.6652 0.1858 0.0727
9 Ge 0.0000 0.0000 0.0000
10 La 0.8305 0.2722 0.4482

---

(13)
Material: Cs2SiHgI6
Method: DFT, PBE
State: relaxed

Output
- formation energy (no corrections) (kcal/mol of atoms) = -16.61
- symmetry = I4/mmm (139)
- total DFT energy (no corrections) (eV per atom) = -2.394

Cell: 8.4357 8.4357 8.4422 Å, 60.03 60.03 90.00°
Fractional positions:
1 Cs 0.2500 0.7500 0.5000
2 I 0.7366 0.7366 0.0000
3 Hg 0.0000 0.0000 0.0000
4 I 0.2634 0.2634 0.0000
5 I 0.2635 0.2635 0.4730
6 I 0.7365 0.7365 0.5270
7 Si 0.5000 0.5000 0.0000
8 I 0.2634 0.7366 0.0000
9 I 0.7366 0.2634 0.0000
10 Cs 0.7500 0.2500 0.5000

---

(14)
Material: CaSnSe
Method: DFT, PBE
State: relaxed

Output
- formation energy (no corrections) (kcal/mol of atoms) = -21.18
- symmetry = C2/m (12)
- total DFT energy (no corrections) (eV per atom) = -4.081

Cell: 4.0667 5.3079 12.0949 Å, 125.50 90.00 112.52°
Fractional positions:
1 Ca 0.7138 0.4277 0.1362
2 Se 0.9973 0.9945 0.8625
3 Se 0.0027 0.0055 0.1375
4 Sn 0.1094 0.2188 0.4391
5 Sn 0.8906 0.7812 0.5609
6 Ca 0.2862 0.5723 0.8638

---

(15)
Material: Sn2H6Os
Method: DFT, PBE
State: relaxed

Output
- symmetry = P2_1/c (14)
- total DFT energy (no corrections) (eV per atom) = -4.224

Cell: 5.0974 4.9284 9.1946 Å, 90.00 121.63 90.00°
Fractional positions:
1 Os 0.0000 0.0000 0.5000
2 H 0.8294 0.3116 0.4558
3 Sn 0.0933 0.4383 0.3201
4 H 0.1495 0.5686 0.9743
5 H 0.3294 0.1884 0.9558
6 H 0.1706 0.6884 0.5442
7 H 0.9236 0.9536 0.2971
8 H 0.4235 0.5464 0.7971
9 Os 0.5000 0.5000 0.0000
10 H 0.3505 0.0686 0.5257
11 H 0.8505 0.4314 0.0257
12 H 0.6495 0.9314 0.4743
13 H 0.6706 0.8116 0.0442
14 Sn 0.4067 0.9383 0.1799
15 H 0.0764 0.0464 0.7029
16 Sn 0.5933 0.0617 0.8201
17 Sn 0.9067 0.5617 0.6799
18 H 0.5765 0.4536 0.2029

---

(16)
Material: Y2CuC2
Method: DFT, PBE
State: relaxed

Output
- calculated formation energy (kJ/mol of atoms) = 70.6
- symmetry = P4/mbm (127)
- total DFT energy (no corrections) (eV per atom) = -6.363
- excess energy over the best structure of this formula in the dataset (meV/atom) = 70

Cell: 7.2647 7.2647 3.0056 Å, 90.00 90.00 90.00°
Fractional positions:
1 Cu 0.0000 0.0000 0.0000
2 Y 0.6483 0.1483 0.0000
3 Cu 0.5000 0.5000 0.0000
4 C 0.8369 0.3369 0.5000
5 C 0.1631 0.6631 0.5000
6 Y 0.8517 0.6483 0.0000
7 Y 0.3517 0.8517 0.0000
8 Y 0.1483 0.3517 0.0000
9 C 0.6631 0.8369 0.5000
10 C 0.3369 0.1631 0.5000

---

(17)
Material: Ge2IrOs
Method: DFT, PBE
State: relaxed

Output
- calculated formation energy (kJ/mol of atoms) = 12.2
- symmetry = Fm-3m (225)
- total DFT energy (no corrections) (eV per atom) = -7.205
- excess energy over the best structure of this formula in the dataset (meV/atom) = 0

Cell: 4.3559 4.3559 4.3559 Å, 60.00 60.00 60.00°
Fractional positions:
1 Ir 0.5000 0.5000 0.5000
2 Ge 0.2500 0.2500 0.2500
3 Ge 0.7500 0.7500 0.7500
4 Os 0.0000 0.0000 0.0000

---

(18)
Material: BaSi2Au
Method: DFT, PBE
State: relaxed

Output
- formation energy (no corrections) (kcal/mol of atoms) = -6.60
- symmetry = Cmmm (65)
- total DFT energy (no corrections) (eV per atom) = -4.298

Cell: 5.0875 5.0518 5.0518 Å, 122.39 90.00 90.00°
Fractional positions:
1 Si 0.5000 0.0000 0.5000
2 Ba 0.0000 0.0000 0.0000
3 Au 0.5000 0.5000 0.5000
4 Si 0.5000 0.5000 0.0000

---

(19)
Material: Fe7P6
Method: DFT, PBE
State: relaxed

Output
- calculated formation energy (kJ/mol of atoms) = -13.9
- symmetry = R-3m (166)
- total DFT energy (no corrections) (eV per atom) = -7.198

Cell: 8.4424 8.4424 8.4424 Å, 33.42 33.42 33.42°
Fractional positions:
1 Fe 0.5000 0.5000 0.5000
2 Fe 0.9252 0.4261 0.4261
3 P 0.0901 0.0901 0.0901
4 P 0.8159 0.8159 0.8159
5 P 0.3333 0.3333 0.3333
6 P 0.1841 0.1841 0.1841
7 P 0.6667 0.6667 0.6667
8 Fe 0.4261 0.4261 0.9252
9 Fe 0.0748 0.5739 0.5739
10 Fe 0.5739 0.5739 0.0748
11 P 0.9099 0.9099 0.9099
12 Fe 0.5739 0.0748 0.5739
13 Fe 0.4261 0.9252 0.4261

---

(20)
Material: InSiTc2
Method: DFT, PBE
State: relaxed

Output
- formation energy (no corrections) (kcal/mol of atoms) = 4.14
- symmetry = P4/mmm (123)
- total DFT energy (no corrections) (eV per atom) = -7.044
- excess energy over the best structure of this formula in the dataset (meV/atom) = 266

Cell: 4.4091 4.4091 3.1396 Å, 90.00 90.00 90.00°
Fractional positions:
1 Tc 0.0000 0.0000 0.0000
2 In 0.5000 0.0000 0.5000
3 Si 0.0000 0.5000 0.5000
4 Tc 0.5000 0.5000 0.0000